No. 1
VASP calculation (GGA-PBE) on a relaxed CsMgHg2 crystal.

Values from the calculation:
volume	152	Å³/cell
total moment	0.0	μB per formula unit
calculated total energy	-0.922	eV per atom

a = 7.5526 Å, b = 7.5526 Å, c = 7.5526 Å
α = 38.79°, β = 38.79°, γ = 38.79°
With the nearest neighbours (Å) after each atom.
Fractional coordinates of all 4 atoms:
Cs  0.0000  0.0000  0.0000  4 Mg 3.84-4.27, 7 Hg 3.95-4.19
Mg  0.1835  0.1835  0.1835  6 Hg 2.91-3.01
Hg  0.5302  0.5302  0.5302  3 Mg 2.91, 3 Hg 3.10
Hg  0.8113  0.8113  0.8113  3 Mg 3.01, 3 Hg 3.10



No. 2
VASP calculation (GGA-PBE) on a relaxed Cs12Mg3Hg5 crystal.

Values from the calculation:
volume	6212	Å³/cell
total moment	0.0	μB per formula unit
calculated total energy	-0.750	eV per atom

a = 20.0578 Å, b = 20.0578 Å, c = 20.0578 Å
α = 109.47°, β = 109.47°, γ = 109.47°
With the nearest neighbours (Å) after each atom.
Fractional coordinates of all 80 atoms:
Cs  0.0460  0.2196  0.1255  2 Hg 3.68-3.87
Cs  0.0460  0.3264  0.9205  2 Hg 3.68-3.87
Cs  0.0795  0.6255  0.4059  2 Hg 3.68-3.87
Cs  0.0795  0.9540  0.6736  2 Hg 3.68-3.87
Cs  0.0941  0.7196  0.6736  2 Hg 3.68-3.87
Cs  0.0941  0.8745  0.4205  2 Hg 3.68-3.87
Cs  0.1255  0.0460  0.2196  2 Hg 3.68-3.87
Cs  0.1255  0.5795  0.9059  2 Hg 3.68-3.87
Cs  0.1736  0.2196  0.5941  2 Hg 3.68-3.87
Cs  0.1736  0.4540  0.5795  2 Hg 3.68-3.87
Cs  0.2196  0.1255  0.0460  2 Hg 3.68-3.87
Cs  0.2196  0.5941  0.1736  2 Hg 3.68-3.87
Cs  0.2804  0.3264  0.9059  2 Hg 3.68-3.87
Cs  0.2804  0.4540  0.3745  2 Hg 3.68-3.87
Cs  0.3264  0.9059  0.2804  2 Hg 3.68-3.87
Cs  0.3264  0.9205  0.0460  2 Hg 3.68-3.87
Cs  0.3745  0.2804  0.4540  2 Hg 3.68-3.87
Cs  0.3745  0.5941  0.9205  2 Hg 3.68-3.87
Cs  0.4059  0.0795  0.6255  2 Hg 3.68-3.87
Cs  0.4059  0.8264  0.7804  2 Hg 3.68-3.87
Cs  0.4205  0.0941  0.8745  2 Hg 3.68-3.87
Cs  0.4205  0.8264  0.5460  2 Hg 3.68-3.87
Cs  0.4540  0.3745  0.2804  2 Hg 3.68-3.87
Cs  0.4540  0.5795  0.1736  2 Hg 3.68-3.87
Cs  0.5460  0.4205  0.8264  2 Hg 3.68-3.87
Cs  0.5460  0.6255  0.7196  2 Hg 3.68-3.87
Cs  0.5795  0.1736  0.4540  2 Hg 3.68-3.87
Cs  0.5795  0.9059  0.1255  2 Hg 3.68-3.87
Cs  0.5941  0.1736  0.2196  2 Hg 3.68-3.87
Cs  0.5941  0.9205  0.3745  2 Hg 3.68-3.87
Cs  0.6255  0.4059  0.0795  2 Hg 3.68-3.87
Cs  0.6255  0.7196  0.5460  2 Hg 3.68-3.87
Cs  0.6736  0.0795  0.9540  2 Hg 3.68-3.87
Cs  0.6736  0.0941  0.7196  2 Hg 3.68-3.87
Cs  0.7196  0.5460  0.6255  2 Hg 3.68-3.87
Cs  0.7196  0.6736  0.0941  2 Hg 3.68-3.87
Cs  0.7804  0.4059  0.8264  2 Hg 3.68-3.87
Cs  0.7804  0.8745  0.9540  2 Hg 3.68-3.87
Cs  0.8264  0.5460  0.4205  2 Hg 3.68-3.87
Cs  0.8264  0.7804  0.4059  2 Hg 3.68-3.87
Cs  0.8745  0.4205  0.0941  2 Hg 3.68-3.87
Cs  0.8745  0.9540  0.7804  2 Hg 3.68-3.87
Cs  0.9059  0.1255  0.5795  2 Hg 3.68-3.87
Cs  0.9059  0.2804  0.3264  2 Hg 3.68-3.87
Cs  0.9205  0.0460  0.3264  2 Hg 3.68-3.87
Cs  0.9205  0.3745  0.5941  2 Hg 3.68-3.87
Cs  0.9540  0.6736  0.0795  2 Hg 3.68-3.87
Cs  0.9540  0.7804  0.8745  2 Hg 3.68-3.87
Mg  0.1250  0.2500  0.3750  8 Cs 4.24-4.47
Mg  0.1250  0.3750  0.7500  8 Cs 4.24-4.47
Mg  0.2500  0.3750  0.1250  8 Cs 4.24-4.47
Mg  0.2500  0.8750  0.6250  8 Cs 4.24-4.47
Mg  0.3750  0.1250  0.2500  8 Cs 4.24-4.47
Mg  0.3750  0.7500  0.1250  8 Cs 4.24-4.47
Mg  0.6250  0.2500  0.8750  8 Cs 4.24-4.47
Mg  0.6250  0.8750  0.7500  8 Cs 4.24-4.47
Mg  0.7500  0.1250  0.3750  8 Cs 4.24-4.47
Mg  0.7500  0.6250  0.8750  8 Cs 4.24-4.47
Mg  0.8750  0.6250  0.2500  8 Cs 4.24-4.47
Mg  0.8750  0.7500  0.6250  8 Cs 4.24-4.47
Hg  0.0000  0.0000  0.0000  6 Cs 3.87
Hg  0.0000  0.0000  0.5000  6 Cs 3.87
Hg  0.0000  0.5000  0.0000  6 Cs 3.87
Hg  0.0000  0.5000  0.5000  6 Cs 3.87
Hg  0.1250  0.7500  0.8750  4 Cs 3.68
Hg  0.1250  0.8750  0.2500  4 Cs 3.68
Hg  0.2500  0.1250  0.8750  4 Cs 3.68
Hg  0.2500  0.6250  0.3750  4 Cs 3.68
Hg  0.3750  0.2500  0.6250  4 Cs 3.68
Hg  0.3750  0.6250  0.7500  4 Cs 3.68
Hg  0.5000  0.0000  0.0000  6 Cs 3.87
Hg  0.5000  0.0000  0.5000  6 Cs 3.87
Hg  0.5000  0.5000  0.0000  6 Cs 3.87
Hg  0.5000  0.5000  0.5000  6 Cs 3.87
Hg  0.6250  0.3750  0.2500  4 Cs 3.68
Hg  0.6250  0.7500  0.3750  4 Cs 3.68
Hg  0.7500  0.3750  0.6250  4 Cs 3.68
Hg  0.7500  0.8750  0.1250  4 Cs 3.68
Hg  0.8750  0.1250  0.7500  4 Cs 3.68
Hg  0.8750  0.2500  0.1250  4 Cs 3.68



| no. | Fermi-level density of states (states/eV/f.u.) |
| --- | --- |
| 1 | 2.7 |
| 2 | 26.8 |